Density functional theory data (PBE) for a geometry-optimized LiNpBeH6 structure.

## Properties
total DFT energy (no corrections): -4.370 eV per atom
total magnetization: 3.69 μB per formula unit

Unit cell a=4.1755 b=4.1755 c=4.2073 alpha=90.00 beta=90.00 gamma=120.00
With the nearest neighbours (Å) after each atom.
Space group P-6m2 (No. 187)
Inequivalent atoms, fractional coordinates:
Li (0.0000, 0.0000, 0.0000) [1 per cell]  6 H 1.72
Np (0.6667, 0.3333, 0.5000) [1 per cell]  12 H 2.29
Be (0.3333, 0.6667, 0.0000) [1 per cell]  6 H 1.62
H (0.1760, 0.3519, 0.2745) [6 per cell]  1 Be 1.62, 1 Li 1.72